## Ca2NiOsO8 (PBE+U)

Data for a relaxed structure of Ca2NiOsO8.

Cell and atoms, written as POSCAR:
```
Ca2NiOsO8
1.0
-2.462 3.364 -2.944
-2.182 -3.368 -2.062
-5.027 -0.492 4.063
O Ca Ni Os
8 2 1 1
direct
0.304 0.205 0.051 O
0.058 0.751 0.272 O
0.942 0.249 0.728 O
0.598 0.877 0.498 O
0.696 0.795 0.949 O
0.402 0.123 0.502 O
0.186 0.748 0.861 O
0.814 0.252 0.139 O
0.516 0.426 0.765 Ca
0.484 0.574 0.235 Ca
0.000 0.000 0.500 Ni
0.000 0.000 0.000 Os
```

Values from the calculation:
DFT total energy = -6.23 eV/atom
magnetization = 0.172 μB per atom